The following is a DFT calculation (GGA-PBE) of Mg3P2O8 after structural relaxation.

Structure (POSCAR):
```
Mg3P2O8
1.0
5.5978 0.0000 0.0000
0.0000 9.3924 0.0000
-1.6882 0.0000 5.4630
Mg P O
6 4 16
direct
0.0000 0.0000 0.0000 Mg
0.0000 0.5000 0.5000 Mg
0.3558 0.1396 0.6018 Mg
0.3558 0.3604 0.1018 Mg
0.6442 0.6396 0.8982 Mg
0.6442 0.8604 0.3982 Mg
0.2281 0.6388 0.0720 P
0.2281 0.8612 0.5720 P
0.7719 0.1388 0.4280 P
0.7719 0.3612 0.9280 P
0.0079 0.2329 0.4942 O
0.0079 0.2671 0.9942 O
0.2357 0.5295 0.2798 O
0.2357 0.9705 0.7798 O
0.2563 0.5422 0.8535 O
0.2563 0.9578 0.3535 O
0.4728 0.7276 0.1355 O
0.4728 0.7724 0.6355 O
0.5272 0.2276 0.3645 O
0.5272 0.2724 0.8645 O
0.7437 0.0422 0.6465 O
0.7437 0.4578 0.1465 O
0.7643 0.0295 0.2202 O
0.7643 0.4705 0.7202 O
0.9921 0.7329 0.0058 O
0.9921 0.7671 0.5058 O
```

Properties
Total energy: -6.820 eV/atom
Calculated density: 3.04 g cm⁻³
Formation energy (no corrections): -2568 meV/atom
E above lowest polymorph: 68 meV/atom
Volume: 287 Å³ per cell